No. 1
This record from Alexandria describes NdIn3Pd2 after structural relaxation. The functional is PBE-GGA.

a b c (Å): 18.0422 4.4497 10.8020
angles (deg): 90.00 109.11 90.00
Space group C2/m (No. 12)
Inequivalent atoms, fractional coordinates:
Nd1 0.0000 0.0000 0.0000 (multiplicity 2)
Nd2 0.1582 0.0000 0.7013 (multiplicity 4)
In1 0.0000 0.5000 0.5000 (multiplicity 2)
In2 0.0402 0.0000 0.3459 (multiplicity 4)
In3 0.1253 0.5000 0.1916 (multiplicity 4)
In4 0.1726 0.5000 0.9546 (multiplicity 4)
In5 0.2162 0.0000 0.3872 (multiplicity 4)
Pd1 0.0244 0.5000 0.7877 (multiplicity 4)
Pd2 0.1368 0.5000 0.4526 (multiplicity 4)
Pd3 0.1997 0.0000 0.1251 (multiplicity 4)

- calculated formation energy (eV/atom) = -0.55
- Fermi-level density of states (states/eV/cell) = 19.8

---

No. 2
This record from Alexandria describes Nd2InPd7 after structural relaxation. The functional is PBE-GGA.

a b c (Å): 9.8351 9.8351 9.8351
angles (deg): 90.00 90.00 90.00
Space group Fm-3m (No. 225)
Inequivalent atoms, fractional coordinates:
Nd1 0.2500 0.2500 0.2500 (multiplicity 8)
In1 0.0000 0.0000 0.0000 (multiplicity 4)
Pd1 0.0000 0.0000 0.2499 (multiplicity 24)
Pd2 0.0000 0.0000 0.5000 (multiplicity 4)

- calculated formation energy (eV/atom) = 0.04
- Fermi-level density of states (states/eV/cell) = 29.8

---

No. 3
This record from Alexandria describes Nd3InPd12 after structural relaxation. The functional is PBE-GGA.

a b c (Å): 4.1827 4.1827 16.5117
angles (deg): 90.00 90.00 90.00
Space group P4/mmm (No. 123)
Inequivalent atoms, fractional coordinates:
Nd1 0.0000 0.0000 0.0000 (multiplicity 1)
Nd2 0.0000 0.0000 0.2564 (multiplicity 2)
In1 0.0000 0.0000 0.5000 (multiplicity 1)
Pd1 0.0000 0.5000 0.1277 (multiplicity 4)
Pd2 0.0000 0.5000 0.3842 (multiplicity 4)
Pd3 0.5000 0.5000 0.0000 (multiplicity 1)
Pd4 0.5000 0.5000 0.2558 (multiplicity 2)
Pd5 0.5000 0.5000 0.5000 (multiplicity 1)

- calculated formation energy (eV/atom) = -0.68
- Fermi-level density of states (states/eV/cell) = 11.2